1.
## SnSeS (PBEsol)

Data for SnSeS after structural relaxation.

The structure in POSCAR format:
```
SnSeS
1.0
3.7288 0.0000 0.0000
-1.8644 3.2292 0.0000
0.0000 0.0000 6.0552
Sn Se S
1 1 1
direct
0.0000 0.0000 0.0000
0.3333 0.6667 0.2654
0.6667 0.3333 0.7590
```

* VASP energy: -4.528 eV/atom
* symmetry: No. 156

***

2.
## Y5Os (PBEsol)

Data for Y5Os after structural relaxation.

The structure in POSCAR format:
```
Y5Os
1.0
5.6926 0.0000 0.0000
-2.8463 4.9299 0.0000
0.0000 0.0000 5.8517
Y Os
5 1
direct
0.0000 0.5000 0.0000
0.3333 0.6667 0.5000
0.5000 0.0000 0.0000
0.5000 0.5000 0.0000
0.6667 0.3333 0.5000
0.0000 0.0000 0.5000
```

* energy above the lowest structure with this stoichiometry: 1108 meV/atom
* symmetry: No. 191
* DFT formation energy: 1038 meV/atom

***

3.
## La2MgTl (PBEsol)

Data for La2MgTl after structural relaxation.

The structure in POSCAR format:
```
La2MgTl
1.0
3.5714 -4.5337 0.0000
3.5714 4.5337 0.0000
0.0000 0.0000 3.6264
La Mg Tl
2 1 1
direct
0.0000 0.5000 0.0000
0.5000 0.0000 0.0000
0.0000 0.0000 0.5000
0.5000 0.5000 0.5000
```

* energy above the lowest structure with this stoichiometry: 22 meV/atom
* symmetry: No. 65
* DFT formation energy: -273 meV/atom

***

4.
## TcAgHg2 (PBEsol)

Data for TcAgHg2 after structural relaxation.

The structure in POSCAR format:
```
TcAgHg2
1.0
0.0000 3.3008 3.3008
3.3008 0.0000 3.3008
3.3008 3.3008 0.0000
Tc Ag Hg
1 1 2
direct
0.0000 0.0000 0.0000
0.2500 0.2500 0.2500
0.5000 0.5000 0.5000
0.7500 0.7500 0.7500
```

* energy above the lowest structure with this stoichiometry: 197 meV/atom
* symmetry: No. 216
* DFT formation energy: 648 meV/atom

***

| no. | size of the total moment (μB/f.u.) |
| --- | --- |
| 1 | 0.000 |
| 2 | 0.002 |
| 3 | 0.000 |
| 4 | 2.346 |